Entry from Alexandria via LeMat-Bulk: Sc2Ga4Ir after structural relaxation (PBE-GGA).

Computed properties:
Formation enthalpy at 0 K (meV/atom): -132
Symmetry: I4/mmm, No. 139
Total DFT energy (no corrections) (eV/atom): -4.936

a = 7.7259 Å, b = 7.7259 Å, c = 7.7259 Å
α = 144.66°, β = 144.66°, γ = 50.83°
Fractional coordinates of all 7 atoms:
Sc  0.1276  0.1276  0.0000
Sc  0.8724  0.8724  0.0000
Ga  0.0000  0.5000  0.5000
Ga  0.3190  0.3190  0.0000
Ga  0.5000  0.0000  0.5000
Ga  0.6810  0.6810  0.0000
Ir  0.5000  0.5000  0.0000



Entry from Alexandria via LeMat-Bulk: Ba2ZrSF after structural relaxation (PBE-GGA).

Computed properties:
Formation energy without anion corrections (meV per atom): -933
Symmetry: P4/mmm, No. 123
Total DFT energy (no corrections) (eV/atom): -4.612
E above lowest polymorph (kJ per mole of atoms): 0.00

a = 6.3085 Å, b = 6.3085 Å, c = 4.8036 Å
α = 90.00°, β = 90.00°, γ = 90.00°
Fractional coordinates of all 5 atoms:
Ba  0.0000  0.5000  0.0000
Ba  0.5000  0.0000  0.0000
Zr  0.0000  0.0000  0.5000
S  0.0000  0.0000  0.0000
F  0.5000  0.5000  0.5000



Entry from Alexandria via LeMat-Bulk: GePbC3 after structural relaxation (PBE-GGA).

Computed properties:
Formation enthalpy at 0 K (meV/atom): 2456
Symmetry: Pm-3m, No. 221
Total DFT energy (no corrections) (eV/atom): -4.744

a = 4.1086 Å, b = 4.1086 Å, c = 4.1086 Å
α = 90.00°, β = 90.00°, γ = 90.00°
Fractional coordinates of all 5 atoms:
Ge  0.0000  0.0000  0.0000
Pb  0.5000  0.5000  0.5000
C  0.0000  0.0000  0.5000
C  0.0000  0.5000  0.0000
C  0.5000  0.0000  0.0000



Entry from Alexandria via LeMat-Bulk: InFe2NiCl8 after structural relaxation (PBE-GGA).

Computed properties:
Formation energy without anion corrections (meV per atom): -709
Symmetry: C2/m, No. 12
Total DFT energy (no corrections) (eV/atom): -4.060

a = 6.2248 Å, b = 6.2248 Å, c = 9.1024 Å
α = 94.40°, β = 94.40°, γ = 69.54°
Fractional coordinates of all 12 atoms:
In  0.0000  0.0000  0.0000
Fe  0.3783  0.3783  0.7086
Fe  0.6217  0.6217  0.2914
Ni  0.0000  0.0000  0.5000
Cl  0.2331  0.2331  0.5095
Cl  0.2343  0.7489  0.3031
Cl  0.2511  0.7657  0.6969
Cl  0.3022  0.3022  0.9274
Cl  0.6978  0.6978  0.0726
Cl  0.7489  0.2343  0.3031
Cl  0.7657  0.2511  0.6969
Cl  0.7669  0.7669  0.4905



- The highest total DFT energy (no corrections) belongs to which entry?
  InFe2NiCl8



- Which formula does entry 1 have?
  Sc2Ga4Ir



Copy entry 3 word for word.
Entry from Alexandria via LeMat-Bulk: GePbC3 after structural relaxation (PBE-GGA).

Computed properties:
Formation enthalpy at 0 K (meV/atom): 2456
Symmetry: Pm-3m, No. 221
Total DFT energy (no corrections) (eV/atom): -4.744

a = 4.1086 Å, b = 4.1086 Å, c = 4.1086 Å
α = 90.00°, β = 90.00°, γ = 90.00°
Fractional coordinates of all 5 atoms:
Ge  0.0000  0.0000  0.0000
Pb  0.5000  0.5000  0.5000
C  0.0000  0.0000  0.5000
C  0.0000  0.5000  0.0000
C  0.5000  0.0000  0.0000



- Which of these has the highest total DFT energy (no corrections)?
  InFe2NiCl8